No. 1
Dy2HoSn3IrPd2: relaxed, GGA-PBE.

The structure in POSCAR format:
```
Dy2HoSn3IrPd2
1.0
-1.475 -2.900 -2.089
-0.712 -4.192 6.323
-5.714 4.517 -2.237
Dy Pd Sn Ir Ho
2 2 3 1 1
Cartesian
-2.282 1.804 -0.894
-0.284 -1.674 2.526
-3.121 -2.734 2.422
-4.783 0.160 -0.423
-2.412 -1.365 0.020
-5.674 -2.301 3.623
-6.977 -0.033 1.394
-6.422 0.325 4.083
-3.862 0.196 2.455
```

Results
The calculation puts the total magnetization at 0.01 μB per cell. The value obtained for the total energy is -5.9197 eV/atom.


No. 2
DyHo2Sn3IrPd2: relaxed, GGA-PBE.

The structure in POSCAR format:
```
DyHo2Sn3IrPd2
1.0
3.849 0.000 0.000
0.000 6.613 3.816
0.000 -6.613 3.816
Sn Pd Dy Ho Ir
3 2 1 2 1
Cartesian
1.924 0.000 1.990
1.924 -4.889 2.823
1.924 4.889 2.823
1.924 -2.211 3.814
1.924 2.211 3.814
0.000 0.000 4.578
0.000 2.643 1.525
0.000 -2.643 1.525
0.000 0.000 0.005
```

Results
The calculation puts the total magnetization at 0.01 μB per cell. The value obtained for the total energy is -5.9168 eV/atom.


No. 3
DyHoSi2Ir: relaxed, GGA-PBE.

The structure in POSCAR format:
```
DyHoSi2Ir
1.0
5.197 -2.120 0.000
5.197 2.120 0.000
-4.668 0.000 8.973
Dy Si Ho Ir
2 4 2 2
Cartesian
-3.810 0.000 7.418
9.537 0.000 1.555
3.533 0.000 3.453
-0.738 0.000 8.479
2.194 0.000 5.520
6.466 0.000 0.495
-0.888 0.000 5.505
6.616 0.000 3.468
3.641 0.000 7.561
2.086 0.000 1.412
```

Results
The calculation puts the total magnetization at 0.00 μB per cell. The value obtained for the total energy is -6.7437 eV/atom.


No. 4
DyHoSn2Ir4: relaxed, GGA-PBE.

The structure in POSCAR format:
```
DyHoSn2Ir4
1.0
4.501 0.000 0.000
-2.251 3.898 0.000
0.000 0.000 9.013
Ir Sn Dy Ho
4 2 1 1
Cartesian
0.000 0.000 5.862
0.000 2.599 1.364
0.000 0.000 3.152
0.000 2.599 7.649
2.251 1.299 6.756
2.251 1.299 2.257
0.000 0.000 0.000
0.000 2.599 4.507
```

Results
The calculation puts the total magnetization at 0.00 μB per cell. The value obtained for the total energy is -7.1441 eV/atom.


No. 5
Dy5Ho2Te2Ir2: relaxed, GGA-PBE.

The structure in POSCAR format:
```
Dy5Ho2Te2Ir2
1.0
-1.968 7.867 4.735
1.968 -7.867 4.735
1.968 7.867 -4.735
Dy Ir Te Ho
5 2 2 2
Cartesian
1.968 0.000 1.726
1.968 5.565 -0.814
0.000 5.797 2.508
0.000 2.301 3.920
0.000 9.937 2.508
1.968 3.739 2.405
1.968 -3.739 2.405
0.000 0.000 8.697
0.000 7.867 0.182
0.000 12.831 0.517
0.000 2.903 0.517
```

Results
The calculation puts the total magnetization at 0.01 μB per cell. The value obtained for the total energy is -6.0275 eV/atom.


No. 6
KDyHoNi2: relaxed, GGA-PBE.

The structure in POSCAR format:
```
KDyHoNi2
1.0
3.673 0.000 0.000
0.000 2.010 8.951
0.000 -2.010 8.951
Ho Ni K Dy
1 2 1 1
Cartesian
0.000 0.000 5.902
1.837 0.000 3.725
1.837 0.000 14.193
1.837 0.000 17.892
0.000 0.000 11.993
```

Results
The calculation puts the total magnetization at 0.00 μB per cell. The value obtained for the total energy is -4.4459 eV/atom.